Here is a relaxed Cu4SnRh crystal from the Alexandria database. Energies are from GGA-PBE.

Properties
ρ, kg/m³: 9546
Energy of formation, kJ per mole of atoms: 0.45

Cell lengths 6.9178, 6.9178, 6.9178 Å; angles 90.00, 90.00, 90.00 degrees
Closest atoms and distances in Å follow each position.
Space group F-43m (No. 216)
Unique sites:
Cu1 0.1244 0.1244 0.1244 (multiplicity 16)  6 Cu 2.44-2.46
Sn1 0.0000 0.0000 0.5000 (multiplicity 4)  12 Cu 2.87, 4 Rh 3.00
Rh1 0.2500 0.2500 0.7500 (multiplicity 4)  12 Cu 2.87, 4 Sn 3.00